Record 1
6
Lattice="-1.496 -0.466 -5.566 0.895 -4.963 -2.828 -4.489 -3.312 -1.520" Properties=species:S:1:pos:R:3 comment="AcSmAl4 | Alexandria via LeMat-Bulk | GGA-PBE | relaxed" dft_energy_ev_per_atom=-4.375 space_group="No. 216" pbc="T T T"
Ac -1.272 -2.185 -2.478
Al -0.934 -3.807 -5.437
Al -3.630 -2.980 -4.782
Al -3.182 -5.465 -6.198
Al -2.433 -5.231 -3.411
Sm 0.000 0.000 0.000


Record 2
18
Lattice="5.950 0.000 0.000 0.000 9.323 0.000 0.000 0.000 9.323" Properties=species:S:1:pos:R:3 comment="AcSm4Al4 | Alexandria via LeMat-Bulk | GGA-PBE | relaxed" dft_energy_ev_per_atom=-4.301 space_group="No. 86" pbc="T T T"
Ac 0.000 0.000 0.000
Ac 2.975 4.661 4.661
Sm 2.173 3.881 7.888
Sm 5.148 6.096 8.543
Sm 2.173 5.441 1.434
Sm 0.802 0.780 6.096
Sm 3.777 7.888 5.441
Sm 0.802 8.543 3.227
Sm 5.148 3.227 0.780
Sm 3.777 1.434 3.881
Al 3.716 8.113 2.168
Al 3.716 1.209 7.154
Al 0.741 6.830 5.871
Al 5.209 3.452 6.830
Al 5.209 5.871 2.493
Al 2.234 2.168 1.209
Al 2.234 7.154 8.113
Al 0.741 2.493 3.452


Record 3
4
Lattice="3.683 0.000 0.000 0.000 3.683 0.000 0.000 0.000 9.363" Properties=species:S:1:pos:R:3 comment="AcSm2Al | Alexandria via LeMat-Bulk | GGA-PBE | relaxed" dft_energy_ev_per_atom=-4.469 space_group="No. 123" pbc="T T T"
Ac 1.841 1.841 4.681
Al 1.841 1.841 0.000
Sm 0.000 0.000 7.474
Sm 0.000 0.000 1.889


Record 4
12
Lattice="-4.623 2.996 -1.469 -5.063 -1.261 2.298 -1.557 6.578 7.253" Properties=species:S:1:pos:R:3 comment="AcSm3Al8 | Alexandria via LeMat-Bulk | GGA-PBE | relaxed" dft_energy_ev_per_atom=-4.476 space_group="No. 160" pbc="T T T"
Ac -9.058 3.990 3.452
Sm -4.996 6.402 6.652
Sm -9.686 1.736 0.830
Sm -5.621 4.159 4.044
Al -6.856 3.452 0.936
Al -7.826 4.683 6.548
Al -4.535 1.949 1.673
Al -10.149 6.189 5.809
Al -2.493 3.218 3.346
Al -8.121 7.352 7.361
Al -7.077 1.316 2.826
Al -7.604 6.823 4.654


Record 5
4
Lattice="-1.507 5.221 -1.050 -3.391 2.654 3.477 1.934 4.124 3.144" Properties=species:S:1:pos:R:3 comment="AcSmAlSn | Alexandria via LeMat-Bulk | GGA-PBE | relaxed" dft_energy_ev_per_atom=-4.538 space_group="No. 216" pbc="T T T"
Ac 0.000 0.000 0.000
Sn -2.223 8.999 4.178
Sm -1.482 5.999 2.785
Al -0.741 3.000 1.393


Record 6
4
Lattice="5.590 0.000 0.000 2.795 4.841 0.000 2.795 1.614 4.564" Properties=species:S:1:pos:R:3 comment="AcSmThAl | Alexandria via LeMat-Bulk | GGA-PBE | relaxed" dft_energy_ev_per_atom=-4.881 space_group="No. 216" pbc="T T T"
Ac 8.385 4.841 3.423
Sm 5.590 3.227 2.282
Th 0.000 0.000 0.000
Al 2.795 1.614 1.141


Number 6 is which compound?
AcSmThAl


Which formula does entry 3 have?
AcSm2Al